Density functional theory data (PBE) for a geometry-optimized Sm2Zn5Ru2Rh structure.

The value obtained for the total magnetization is 0.0 μB/f.u. As for the total energy: -88.172 eV for the cell shown. For the energy relative to the elements, the calculation gives -0.238 eV/atom. The calculated volume is 17.6 Å³ per atom.

The structure belongs to space group P4/mbm (No. 127); the cell edges are 10.1713, 10.1713 and 3.4110 Å and the angles 90.00°, 90.00° and 90.00°. The distinct sites, in fractional coordinates, are Sm at (0.1781, 0.3219, 0.0000), Zn at (0.0000, 0.5000, 0.5000), Zn at (0.0538, 0.8121, 0.5000), Ru at (0.1327, 0.6327, 0.0000) and Rh at (0.0000, 0.0000, 0.0000).

***

Density functional theory data (PBE) for a geometry-optimized Sm2Zn5RuRh2 structure.

The value obtained for the total magnetization is 0.0 μB/f.u. As for the total energy: -86.637 eV for the cell shown. For the energy relative to the elements, the calculation gives -0.353 eV/atom. The calculated volume is 17.7 Å³ per atom.

The structure belongs to space group P4/mbm (No. 127); the cell edges are 9.7099, 9.7099 and 3.7498 Å and the angles 90.00°, 90.00° and 90.00°. The distinct sites, in fractional coordinates, are Sm at (0.1768, 0.3232, 0.0000), Zn at (0.0000, 0.5000, 0.5000), Zn at (0.0549, 0.8096, 0.5000), Ru at (0.0000, 0.0000, 0.0000) and Rh at (0.1259, 0.6259, 0.0000).

***

Density functional theory data (PBE) for a geometry-optimized Sn3RuRh structure.

The value obtained for the total magnetization is 1.3 μB/f.u. As for the total energy: -25.041 eV for the cell shown. The calculation puts the energy above the lowest structure with this stoichiometry at 0.184 eV/atom. For the energy relative to the elements, the calculation gives 0.719 eV/atom. The calculated volume is 25.3 Å³ per atom.

The structure belongs to space group Pm-3m (No. 221); the cell edges are 5.0232, 5.0232 and 5.0232 Å and the angles 90.00°, 90.00° and 90.00°. The distinct sites, in fractional coordinates, are Sn at (0.0000, 0.0000, 0.5000), Ru at (0.5000, 0.5000, 0.5000) and Rh at (0.0000, 0.0000, 0.0000).

***

Density functional theory data (PBE) for a geometry-optimized Sn3RuRh structure.

The value obtained for the total magnetization is 0.0 μB/f.u. As for the total energy: -25.960 eV for the cell shown. The calculation puts the energy above the lowest structure with this stoichiometry at 0.000 eV/atom. For the energy relative to the elements, the calculation gives 0.535 eV/atom. The calculated volume is 25.2 Å³ per atom.

The structure belongs to space group Pm-3m (No. 221); the cell edges are 5.0142, 5.0142 and 5.0142 Å and the angles 90.00°, 90.00° and 90.00°. The distinct sites, in fractional coordinates, are Sn at (0.0000, 0.0000, 0.5000), Ru at (0.0000, 0.0000, 0.0000) and Rh at (0.5000, 0.5000, 0.5000).

***

Density functional theory data (PBE) for a geometry-optimized SnRu3Rh structure.

The value obtained for the total magnetization is 0.0 μB/f.u. As for the total energy: -31.465 eV for the cell shown. The calculation puts the energy above the lowest structure with this stoichiometry at 0.000 eV/atom. For the energy relative to the elements, the calculation gives 1.543 eV/atom. The calculated volume is 20.4 Å³ per atom.

The structure belongs to space group Pm-3m (No. 221); the cell edges are 4.6721, 4.6721 and 4.6721 Å and the angles 90.00°, 90.00° and 90.00°. The distinct sites, in fractional coordinates, are Sn at (0.0000, 0.0000, 0.0000), Ru at (0.0000, 0.5000, 0.5000) and Rh at (0.5000, 0.5000, 0.5000).

***

Density functional theory data (PBE) for a geometry-optimized SnRuRh2 structure.

The value obtained for the total magnetization is 0.0 μB/f.u. As for the total energy: -100.554 eV for the cell shown. For the energy relative to the elements, the calculation gives 0.711 eV/atom. The calculated volume is 23.3 Å³ per atom.

The structure belongs to space group I-42d (No. 122); the cell edges are 5.6242, 5.6242 and 11.8089 Å and the angles 90.00°, 90.00° and 90.00°. The distinct sites, in fractional coordinates, are Sn at (0.0000, 0.0000, 0.0000), Ru at (0.0000, 0.0000, 0.5000) and Rh at (0.2144, 0.2500, 0.6250).

***

Density functional theory data (PBE) for a geometry-optimized SnRuRh3 structure.

The value obtained for the total magnetization is 0.0 μB/f.u. As for the total energy: -30.146 eV for the cell shown. The calculation puts the energy above the lowest structure with this stoichiometry at 0.000 eV/atom. For the energy relative to the elements, the calculation gives 1.037 eV/atom. The calculated volume is 20.7 Å³ per atom.

The structure belongs to space group Pm-3m (No. 221); the cell edges are 4.6945, 4.6945 and 4.6945 Å and the angles 90.00°, 90.00° and 90.00°. The distinct sites, in fractional coordinates, are Sn at (0.0000, 0.0000, 0.0000), Ru at (0.5000, 0.5000, 0.5000) and Rh at (0.0000, 0.5000, 0.5000).

***

Density functional theory data (PBE) for a geometry-optimized ThSnRuRh structure.

The value obtained for the total magnetization is 0.0 μB/f.u. As for the total energy: -120.585 eV for the cell shown. For the energy relative to the elements, the calculation gives -0.524 eV/atom. The calculated volume is 20.0 Å³ per atom.

The structure belongs to space group F-43m (No. 216); the cell edges are 6.8360, 6.8360 and 6.8360 Å and the angles 90.00°, 90.00° and 90.00°. The distinct sites, in fractional coordinates, are Th at (0.0000, 0.0000, 0.0000), Sn at (0.0000, 0.0000, 0.5000), Ru at (0.2500, 0.2500, 0.2500) and Rh at (0.2500, 0.2500, 0.7500).

***

Density functional theory data (PBE) for a geometry-optimized Tm4SnRu2Rh structure.

The value obtained for the total magnetization is 0.0 μB/f.u. As for the total energy: -157.729 eV for the cell shown. For the energy relative to the elements, the calculation gives -0.598 eV/atom. The calculated volume is 20.6 Å³ per atom.

The structure belongs to space group R-3m (No. 166, hexagonal axes); the cell edges are 4.8633, 4.8633 and 24.1030 Å and the angles 90.00°, 90.00° and 120.00°. The distinct sites, in fractional coordinates, are Tm at (0.0000, 0.0000, 0.1175), Tm at (0.0000, 0.0000, 0.3701), Sn at (0.0000, 0.0000, 0.5000), Ru at (0.0000, 0.0000, 0.2492) and Rh at (0.0000, 0.0000, 0.0000).

***

Density functional theory data (PBE) for a geometry-optimized Tm5Sn2RuRh2 structure.

The value obtained for the total magnetization is 0.0 μB/f.u. As for the total energy: -121.708 eV for the cell shown. For the energy relative to the elements, the calculation gives -0.651 eV/atom. The calculated volume is 22.8 Å³ per atom.

The structure belongs to space group P4/mbm (No. 127); the cell edges are 11.4508, 11.4508 and 3.4786 Å and the angles 90.00°, 90.00° and 90.00°. The distinct sites, in fractional coordinates, are Tm at (0.0000, 0.5000, 0.0000), Tm at (0.0651, 0.1941, 0.0000), Sn at (0.1772, 0.6772, 0.5000), Ru at (0.0000, 0.0000, 0.5000) and Rh at (0.1361, 0.3639, 0.5000).

***

Density functional theory data (PBE) for a geometry-optimized TmSnRuRh structure.

The value obtained for the total magnetization is 0.0 μB/f.u. As for the total energy: -111.312 eV for the cell shown. For the energy relative to the elements, the calculation gives -0.682 eV/atom. The calculated volume is 17.7 Å³ per atom.

The structure belongs to space group F-43m (No. 216); the cell edges are 6.5666, 6.5666 and 6.5666 Å and the angles 90.00°, 90.00° and 90.00°. The distinct sites, in fractional coordinates, are Tm at (0.0000, 0.0000, 0.0000), Sn at (0.0000, 0.0000, 0.5000), Ru at (0.2500, 0.2500, 0.7500) and Rh at (0.2500, 0.2500, 0.2500).

***

Density functional theory data (PBE) for a geometry-optimized Tm5Sn2Ru2Rh structure.

The value obtained for the total magnetization is 0.0 μB/f.u. As for the total energy: -122.910 eV for the cell shown. For the energy relative to the elements, the calculation gives -0.519 eV/atom. The calculated volume is 22.8 Å³ per atom.

The structure belongs to space group P4/mbm (No. 127); the cell edges are 11.4810, 11.4810 and 3.4579 Å and the angles 90.00°, 90.00° and 90.00°. The distinct sites, in fractional coordinates, are Tm at (0.0000, 0.5000, 0.0000), Tm at (0.0636, 0.1963, 0.0000), Sn at (0.1800, 0.6800, 0.5000), Ru at (0.1375, 0.3625, 0.5000) and Rh at (0.0000, 0.0000, 0.5000).

***

- Number 6 is which compound?
  SnRuRh2